[1]
# Ba3Zn3In2 (GGA-PBE, relaxed)
data_Ba3Zn3In2
_chemical_formula_sum 'Ba6 Zn6 In4'
_symmetry_space_group_name_H-M 'P 1'
_symmetry_Int_Tables_number 1
_cell_length_a 6.5025
_cell_length_b 6.5025
_cell_length_c 16.6739
_cell_angle_alpha 90.00
_cell_angle_beta 90.00
_cell_angle_gamma 133.77
loop_
_symmetry_equiv_pos_as_xyz
'x,y,z'
loop_
_atom_site_label
_atom_site_fract_x
_atom_site_fract_y
_atom_site_fract_z
Ba1 0.0898 0.9102 0.7500
Ba2 0.3968 0.6032 0.6034
Ba3 0.3968 0.6032 0.8966
Ba4 0.6032 0.3968 0.1034
Ba5 0.6032 0.3968 0.3966
Ba6 0.9102 0.0898 0.2500
Zn1 0.1079 0.8921 0.5345
Zn2 0.1079 0.8921 0.9655
Zn3 0.2084 0.7916 0.2500
Zn4 0.7916 0.2084 0.7500
Zn5 0.8921 0.1079 0.0345
Zn6 0.8921 0.1079 0.4655
In1 0.3024 0.6976 0.0964
In2 0.3024 0.6976 0.4036
In3 0.6976 0.3024 0.5964
In4 0.6976 0.3024 0.9036
# Fermi-level density of states, states/eV per atom: 0.853
# DFT total energy, eV/f.u.: -17.28
# ΔE_f, kJ/mol of atoms: -27
# Space-group type: No. 63
# Total magnetic moment, μB per formula unit: 0.000

[2]
# Ba2ZnIn2 (GGA-PBE, relaxed)
data_Ba2ZnIn2
_chemical_formula_sum 'Ba4 Zn2 In4'
_symmetry_space_group_name_H-M 'P 1'
_symmetry_Int_Tables_number 1
_cell_length_a 6.5717
_cell_length_b 6.5717
_cell_length_c 12.3419
_cell_angle_alpha 114.72
_cell_angle_beta 114.72
_cell_angle_gamma 46.84
loop_
_symmetry_equiv_pos_as_xyz
'x,y,z'
loop_
_atom_site_label
_atom_site_fract_x
_atom_site_fract_y
_atom_site_fract_z
Ba1 0.0875 0.0875 0.3850
Ba2 0.3181 0.3181 0.8346
Ba3 0.6819 0.6819 0.1654
Ba4 0.9125 0.9125 0.6150
Zn1 0.3670 0.3670 0.1447
Zn2 0.6330 0.6330 0.8553
In1 0.0912 0.0912 0.9447
In2 0.3830 0.3830 0.3839
In3 0.6170 0.6170 0.6161
In4 0.9088 0.9088 0.0553
# Fermi-level density of states, states/eV per atom: 0.886
# DFT total energy, eV/f.u.: -12.30
# ΔE_f, kJ/mol of atoms: -33
# Space-group type: No. 12
# Relative energy among the computed polymorphs, meV/atom: 0
# Total magnetic moment, μB per formula unit: 0.000

[3]
# BaZnIn2 (GGA-PBE, relaxed)
data_BaZnIn2
_chemical_formula_sum 'Ba1 Zn1 In2'
_symmetry_space_group_name_H-M 'P 1'
_symmetry_Int_Tables_number 1
_cell_length_a 6.7302
_cell_length_b 6.7302
_cell_length_c 3.6202
_cell_angle_alpha 102.43
_cell_angle_beta 102.43
_cell_angle_gamma 122.16
loop_
_symmetry_equiv_pos_as_xyz
'x,y,z'
loop_
_atom_site_label
_atom_site_fract_x
_atom_site_fract_y
_atom_site_fract_z
Ba1 0.0000 0.0000 0.0000
Zn1 0.5000 0.5000 0.0000
In1 0.0000 0.5000 0.5000
In2 0.5000 0.0000 0.5000
# Fermi-level density of states, states/eV per atom: 0.814
# DFT total energy, eV/f.u.: -8.62
# ΔE_f, kJ/mol of atoms: 1
# Space-group type: No. 12
# Total magnetic moment, μB per formula unit: 0.000

[4]
# Ba6ZnIn5 (GGA-PBE, relaxed)
data_Ba6ZnIn5
_chemical_formula_sum 'Ba6 Zn1 In5'
_symmetry_space_group_name_H-M 'P 1'
_symmetry_Int_Tables_number 1
_cell_length_a 9.4846
_cell_length_b 9.4846
_cell_length_c 8.5909
_cell_angle_alpha 90.00
_cell_angle_beta 90.00
_cell_angle_gamma 143.23
loop_
_symmetry_equiv_pos_as_xyz
'x,y,z'
loop_
_atom_site_label
_atom_site_fract_x
_atom_site_fract_y
_atom_site_fract_z
Ba1 0.0000 0.0000 0.2441
Ba2 0.0000 0.0000 0.7559
Ba3 0.3364 0.6636 0.2487
Ba4 0.3364 0.6636 0.7513
Ba5 0.6636 0.3364 0.2487
Ba6 0.6636 0.3364 0.7513
Zn1 0.5000 0.5000 0.0000
In1 0.1670 0.8330 0.5000
In2 0.1725 0.8275 0.0000
In3 0.5000 0.5000 0.5000
In4 0.8275 0.1725 0.0000
In5 0.8330 0.1670 0.5000
# Fermi-level density of states, states/eV per atom: 0.731
# DFT total energy, eV/f.u.: -30.75
# ΔE_f, kJ/mol of atoms: -34
# Space-group type: No. 65
# Total magnetic moment, μB per formula unit: 0.000